This record from Alexandria describes an optimized crystal structure of Th2PaNi6. The functional is GGA-PBE.

## Properties
Energy above the lowest structure with this stoichiometry = 0 meV per atom
Magnetic moment = 0.000 μB per formula unit
Calculated density = 10.883 g cm⁻³
Energy of formation = -36.04 kJ per mole of atoms

```
data_Th2PaNi6
_symmetry_space_group_name_H-M 'P 6/m m m'
_symmetry_Int_Tables_number 191
_symmetry_space_group_name_Hall '-P 6 2'
_cell_length_a 7.1843
_cell_length_b 7.1843
_cell_length_c 3.5749
_cell_angle_alpha 90.00
_cell_angle_beta 90.00
_cell_angle_gamma 120.00
loop_
_atom_site_label
_atom_site_fract_x
_atom_site_fract_y
_atom_site_fract_z
_atom_site_occupancy
Th1 0.3333 0.6667 0.0000 1
Pa1 0.0000 0.0000 0.0000 1
Ni1 0.0000 0.3277 0.5000 1
```



This record from Alexandria describes an optimized crystal structure of Pm4NdDy6. The functional is GGA-PBE.

## Properties
Energy above the lowest structure with this stoichiometry = 128 meV per atom
Magnetic moment = 0.000 μB per formula unit
Calculated density = 7.209 g cm⁻³
Energy of formation = 42.08 kJ per mole of atoms

```
data_Pm4NdDy6
_symmetry_space_group_name_H-M 'I -4 2 m'
_symmetry_Int_Tables_number 121
_symmetry_space_group_name_Hall 'I -4 2'
_cell_length_a 7.752
_cell_length_b 7.752
_cell_length_c 13.028
_cell_angle_alpha 90.00
_cell_angle_beta 90.00
_cell_angle_gamma 90.00
loop_
_atom_site_label
_atom_site_fract_x
_atom_site_fract_y
_atom_site_fract_z
_atom_site_occupancy
Pm1 0.172 0.172 0.425 1
Nd1 0.000 0.000 0.000 1
Dy1 0.000 0.500 0.000 1
Dy2 0.248 0.248 0.186 1
```



This record from Alexandria describes an optimized crystal structure of Si3CS. The functional is GGA-PBE.

## Properties
Energy above the lowest structure with this stoichiometry = 976 meV per atom
Magnetic moment = 0.000 μB per formula unit
Calculated density = 2.340 g cm⁻³

```
data_Si3CS
_symmetry_space_group_name_H-M 'P m -3 m'
_symmetry_Int_Tables_number 221
_symmetry_space_group_name_Hall '-P 4 2 3'
_cell_length_a 4.499
_cell_length_b 4.499
_cell_length_c 4.499
_cell_angle_alpha 90.00
_cell_angle_beta 90.00
_cell_angle_gamma 90.00
loop_
_atom_site_label
_atom_site_fract_x
_atom_site_fract_y
_atom_site_fract_z
_atom_site_occupancy
Si1 0.000 0.000 0.500 1
C1 0.500 0.500 0.500 1
S1 0.000 0.000 0.000 1
```



This record from Alexandria describes an optimized crystal structure of LaMgAl2. The functional is GGA-PBE.

## Properties
Magnetic moment = 0.000 μB per formula unit
Calculated density = 3.802 g cm⁻³
Energy of formation = -23.47 kJ per mole of atoms

```
data_LaMgAl2
_symmetry_space_group_name_H-M 'P 4/m m m'
_symmetry_Int_Tables_number 123
_symmetry_space_group_name_Hall '-P 4 2'
_cell_length_a 4.595
_cell_length_b 4.595
_cell_length_c 4.493
_cell_angle_alpha 90.00
_cell_angle_beta 90.00
_cell_angle_gamma 90.00
loop_
_atom_site_label
_atom_site_fract_x
_atom_site_fract_y
_atom_site_fract_z
_atom_site_occupancy
La1 0.000 0.000 0.000 1
Mg1 0.500 0.500 0.000 1
Al1 0.000 0.500 0.500 1
```



This record from Alexandria describes an optimized crystal structure of YHoGe. The functional is GGA-PBE.

## Properties
Energy above the lowest structure with this stoichiometry = 0 meV per atom
Magnetic moment = 0.000 μB per formula unit
Calculated density = 6.901 g cm⁻³
Energy of formation = -64.48 kJ per mole of atoms

```
data_YHoGe
_symmetry_space_group_name_H-M 'C m c m'
_symmetry_Int_Tables_number 63
_symmetry_space_group_name_Hall '-C 2c 2'
_cell_length_a 4.234
_cell_length_b 11.527
_cell_length_c 6.439
_cell_angle_alpha 90.00
_cell_angle_beta 90.00
_cell_angle_gamma 90.00
loop_
_atom_site_label
_atom_site_fract_x
_atom_site_fract_y
_atom_site_fract_z
_atom_site_occupancy
Y1 0.000 0.207 0.250 1
Ho1 0.000 0.500 0.000 1
Ge1 0.000 0.113 0.750 1
```



This record from Alexandria describes an optimized crystal structure of SiTcPb. The functional is GGA-PBE.

## Properties
Energy above the lowest structure with this stoichiometry = 91 meV per atom
Magnetic moment = 0.000 μB per formula unit
Calculated density = 9.711 g cm⁻³

```
data_SiTcPb
_symmetry_space_group_name_H-M 'P 3 m 1'
_symmetry_Int_Tables_number 156
_cell_length_a 3.2132
_cell_length_b 3.2132
_cell_length_c 6.3740
_cell_angle_alpha 90.00
_cell_angle_beta 90.00
_cell_angle_gamma 120.00
loop_
_symmetry_equiv_pos_as_xyz
'x,y,z'
'-y,x-y,z'
'-x+y,-x,z'
'-y,-x,z'
'-x+y,y,z'
'x,x-y,z'
loop_
_atom_site_label
_atom_site_fract_x
_atom_site_fract_y
_atom_site_fract_z
_atom_site_occupancy
Si1 0.0000 0.0000 0.0000 1
Tc1 0.6667 0.3333 0.2430 1
Pb1 0.3333 0.6667 0.6021 1
```



This record from Alexandria describes an optimized crystal structure of K3Tb3HoTe8. The functional is GGA-PBE.

## Properties
Electronic total energy = -4.45 eV per atom
Magnetic moment = 0.000 μB per formula unit
Calculated density = 5.170 g cm⁻³

```
data_K3Tb3HoTe8
_symmetry_space_group_name_H-M 'R -3 m'
_symmetry_Int_Tables_number 166
_symmetry_space_group_name_Hall '-R 3 2"'
_cell_length_a 8.8040
_cell_length_b 8.8040
_cell_length_c 25.5434
_cell_angle_alpha 90.00
_cell_angle_beta 90.00
_cell_angle_gamma 120.00
loop_
_atom_site_label
_atom_site_fract_x
_atom_site_fract_y
_atom_site_fract_z
_atom_site_occupancy
K1 0.0000 0.5000 0.0000 1
Tb1 0.0000 0.5000 0.5000 1
Ho1 0.0000 0.0000 0.5000 1
Te1 0.0000 0.0000 0.2367 1
Te2 0.0000 0.5000 0.2360 1
```



This record from Alexandria describes an optimized crystal structure of CaMg2TaN4. The functional is GGA-PBE.

## Properties
Electronic total energy = -7.16 eV per atom
Magnetic moment = 1.050 μB per formula unit
Calculated density = 4.565 g cm⁻³

```
data_CaMg2TaN4
_symmetry_space_group_name_H-M 'P m n 21'
_symmetry_Int_Tables_number 31
_cell_length_a 7.296
_cell_length_b 6.046
_cell_length_c 5.372
_cell_angle_alpha 90.00
_cell_angle_beta 90.00
_cell_angle_gamma 90.00
loop_
_symmetry_equiv_pos_as_xyz
'x,y,z'
'-x+1/2,-y,z+1/2'
'-x,y,z'
'x+1/2,-y,z+1/2'
loop_
_atom_site_label
_atom_site_fract_x
_atom_site_fract_y
_atom_site_fract_z
_atom_site_occupancy
Ca1 0.000 0.173 0.000 1
Mg1 0.247 0.331 0.513 1
Ta1 0.000 0.816 0.522 1
N1 0.000 0.139 0.457 1
N2 0.000 0.794 0.882 1
N3 0.219 0.663 0.404 1
```



This record from Alexandria describes an optimized crystal structure of PmY2Pd3. The functional is GGA-PBE.

## Properties
Energy above the lowest structure with this stoichiometry = 0 meV per atom
Magnetic moment = 0.000 μB per formula unit
Calculated density = 7.979 g cm⁻³
Energy of formation = -81.06 kJ per mole of atoms

```
data_PmY2Pd3
_symmetry_space_group_name_H-M 'C m m m'
_symmetry_Int_Tables_number 65
_symmetry_space_group_name_Hall '-C 2 2'
_cell_length_a 5.061
_cell_length_b 15.233
_cell_length_c 3.466
_cell_angle_alpha 90.00
_cell_angle_beta 90.00
_cell_angle_gamma 90.00
loop_
_atom_site_label
_atom_site_fract_x
_atom_site_fract_y
_atom_site_fract_z
_atom_site_occupancy
Pm1 0.000 0.000 0.000 1
Y1 0.000 0.333 0.000 1
Pd1 0.000 0.172 0.500 1
Pd2 0.000 0.500 0.500 1
```



This record from Alexandria describes an optimized crystal structure of YSe2N2. The functional is GGA-PBE.

## Properties
Energy above the lowest structure with this stoichiometry = 40 meV per atom
Magnetic moment = 0.342 μB per formula unit
Calculated density = 5.890 g cm⁻³

```
data_YSe2N2
_symmetry_space_group_name_H-M 'P 4/m m m'
_symmetry_Int_Tables_number 123
_symmetry_space_group_name_Hall '-P 4 2'
_cell_length_a 4.215
_cell_length_b 4.215
_cell_length_c 4.362
_cell_angle_alpha 90.00
_cell_angle_beta 90.00
_cell_angle_gamma 90.00
loop_
_atom_site_label
_atom_site_fract_x
_atom_site_fract_y
_atom_site_fract_z
_atom_site_occupancy
Y1 0.000 0.000 0.000 1
Se1 0.000 0.500 0.500 1
N1 0.500 0.500 0.000 1
N2 0.500 0.500 0.500 1
```



This record from Alexandria describes an optimized crystal structure of Pu2NiAu. The functional is GGA-PBE.

## Properties
Energy above the lowest structure with this stoichiometry = 78 meV per atom
Magnetic moment = 11.350 μB per formula unit
Calculated density = 14.105 g cm⁻³
Energy of formation = -12.50 kJ per mole of atoms

```
data_Pu2NiAu
_symmetry_space_group_name_H-M 'F m -3 m'
_symmetry_Int_Tables_number 225
_symmetry_space_group_name_Hall '-F 4 2 3'
_cell_length_a 7.049
_cell_length_b 7.049
_cell_length_c 7.049
_cell_angle_alpha 90.00
_cell_angle_beta 90.00
_cell_angle_gamma 90.00
loop_
_atom_site_label
_atom_site_fract_x
_atom_site_fract_y
_atom_site_fract_z
_atom_site_occupancy
Pu1 0.250 0.250 0.250 1
Ni1 0.000 0.000 0.000 1
Au1 0.000 0.000 0.500 1
```



This record from Alexandria describes an optimized crystal structure of ReGePb3. The functional is GGA-PBE.

## Properties
Energy above the lowest structure with this stoichiometry = 0 meV per atom
Magnetic moment = 2.413 μB per formula unit
Calculated density = 9.515 g cm⁻³
Energy of formation = 77.46 kJ per mole of atoms

```
data_ReGePb3
_symmetry_space_group_name_H-M 'P m -3 m'
_symmetry_Int_Tables_number 221
_symmetry_space_group_name_Hall '-P 4 2 3'
_cell_length_a 5.356
_cell_length_b 5.356
_cell_length_c 5.356
_cell_angle_alpha 90.00
_cell_angle_beta 90.00
_cell_angle_gamma 90.00
loop_
_atom_site_label
_atom_site_fract_x
_atom_site_fract_y
_atom_site_fract_z
_atom_site_occupancy
Re1 0.000 0.000 0.000 1
Ge1 0.500 0.500 0.500 1
Pb1 0.000 0.000 0.500 1
```